(1)
MgMn2Au: optimized geometry, GGA-PBE.

Results
For the total energy, the calculation gives -22.59 eV for the cell shown. The magnetic moment comes out at 7.237 μB per cell. As for the formation energy: 15 kJ/mol of atoms. For the mass density, the calculation gives 8.37 g/cm3.

Cell: 5.0271 5.3976 2.8289 Å, 78.09 83.12 115.74°
Last column: nearest neighbours and their distance in Å.
Positions (direct):
Mn1 0.0000 0.0000 0.0000  6 Mn 2.73-3.03, 2 Mg 2.78, 2 Au 2.78
Mn2 0.5000 0.0000 0.5000  6 Mn 2.73-3.03, 2 Au 2.78, 2 Mg 2.78
Mg1 0.5000 0.5000 0.0000  4 Au 2.73-3.03, 4 Mn 2.78, 2 Mg 2.83
Au1 0.0000 0.5000 0.5000  4 Mg 2.73-3.03, 4 Mn 2.78, 2 Au 2.83

---

(2)
MgMn2Au: optimized geometry, GGA-PBE.

Results
For the total energy, the calculation gives -22.90 eV for the cell shown. The magnetic moment comes out at 7.332 μB per cell. As for the formation energy: 8 kJ/mol of atoms. For the mass density, the calculation gives 8.48 g/cm3.

Cell: 4.9436 4.9436 4.9436 Å, 132.21 132.34 69.79°
Last column: nearest neighbours and their distance in Å.
Positions (direct):
Mg1 0.2499 0.7499 0.5000  8 Mn 2.83-2.85, 4 Au 2.85
Au1 0.5000 0.5000 0.0000  8 Mn 2.83-2.85, 4 Mg 2.85
Mn1 0.7501 0.2501 0.5000  4 Mg 2.83, 4 Au 2.85, 4 Mn 2.85
Mn2 0.0000 0.0000 0.0000  4 Au 2.83, 4 Mg 2.85, 4 Mn 2.85

---

(3)
MgMn2Au: optimized geometry, GGA-PBE.

Results
For the total energy, the calculation gives -22.15 eV for the cell shown. The magnetic moment comes out at 7.849 μB per cell. As for the formation energy: 25 kJ/mol of atoms. For the mass density, the calculation gives 7.88 g/cm3.

Cell: 9.1982 9.1982 9.1982 Å, 18.69 18.69 18.69°
Last column: nearest neighbours and their distance in Å.
Positions (direct):
Mn1 0.0028 0.0028 0.0028  3 Au 2.78, 3 Mg 2.90, 6 Mn 2.99
Mg1 0.2500 0.2500 0.2500  6 Mn 2.90, 6 Mg 2.99
Mn2 0.4972 0.4972 0.4972  3 Au 2.78, 3 Mg 2.90, 6 Mn 2.99
Au1 0.7500 0.7500 0.7500  6 Mn 2.78, 6 Au 2.99

---

(4)
MgMnAu4: optimized geometry, GGA-PBE.

Results
For the total energy, the calculation gives -24.95 eV for the cell shown. The magnetic moment comes out at 4.117 μB per cell. As for the formation energy: -17 kJ/mol of atoms. The value obtained for the offset from the most stable computed form is 93 meV per atom. For the mass density, the calculation gives 13.53 g/cm3.

Cell: 4.8838 4.9985 5.6747 Å, 87.86 64.51 60.76°
Last column: nearest neighbours and their distance in Å.
Positions (direct):
Mn1 0.0000 0.0000 0.0000  8 Au 2.74-2.91, 2 Mg 2.98
Au1 0.3349 0.3323 0.9980  1 Mg 2.80, 3 Mn 2.84-2.91, 6 Au 2.84-3.01
Mg1 0.5000 0.5000 0.5000  8 Au 2.80-2.88, 2 Mn 2.98
Au2 0.8392 0.8354 0.4862  1 Mn 2.74, 6 Au 2.82-3.01, 3 Mg 2.86-2.88
Au3 0.6651 0.6677 0.0020  1 Mg 2.80, 3 Mn 2.84-2.91, 6 Au 2.84-3.01
Au4 0.1608 0.1646 0.5138  1 Mn 2.74, 6 Au 2.82-3.01, 3 Mg 2.86-2.88

---

(5)
Mg2MnAu: optimized geometry, GGA-PBE.

Results
For the total energy, the calculation gives -16.03 eV for the cell shown. The magnetic moment comes out at 4.027 μB per cell. As for the formation energy: -10 kJ/mol of atoms. For the mass density, the calculation gives 6.70 g/cm3.

Cell: 3.3780 3.3780 6.5226 Å, 90.00 90.00 89.96°
Last column: nearest neighbours and their distance in Å.
Positions (direct):
Au1 0.5000 0.5000 0.7340  4 Mn 2.77, 5 Mg 2.85-3.00
Mg1 0.5000 0.5000 0.2739  4 Mn 2.88, 1 Au 3.00, 4 Mg 3.09
Mg2 0.0000 0.0000 0.9727  4 Au 2.85, 1 Mn 2.96, 4 Mg 3.09
Mn1 0.0000 0.0000 0.5195  4 Au 2.77, 5 Mg 2.88-2.96

---

(6)
MgMn2Au: optimized geometry, GGA-PBE.

Results
For the total energy, the calculation gives -22.74 eV for the cell shown. The magnetic moment comes out at 7.752 μB per cell. As for the formation energy: 11 kJ/mol of atoms. For the mass density, the calculation gives 8.15 g/cm3.

Cell: 3.3505 3.3505 6.0104 Å, 90.00 90.00 90.00°
Last column: nearest neighbours and their distance in Å.
Positions (direct):
Au1 0.5000 0.5000 0.2500  8 Mn 2.79, 2 Mg 3.01
Mn1 0.0000 0.0000 0.4940  4 Au 2.79, 4 Mg 2.82-2.83, 2 Mn 2.93-3.08
Mg1 0.5000 0.5000 0.7500  8 Mn 2.82-2.83, 2 Au 3.01
Mn2 0.0000 0.0000 0.0060  4 Au 2.79, 4 Mg 2.82-2.83, 2 Mn 2.93-3.08

---

(7)
MgMn2Au: optimized geometry, GGA-PBE.

Results
For the total energy, the calculation gives -23.37 eV for the cell shown. The magnetic moment comes out at 0.081 μB per cell. As for the formation energy: -4 kJ/mol of atoms. For the mass density, the calculation gives 8.53 g/cm3.

Cell: 3.1674 3.1674 6.4225 Å, 90.00 90.00 90.00°
Last column: nearest neighbours and their distance in Å.
Positions (direct):
Mg1 0.5000 0.5000 0.7505  4 Au 2.82, 5 Mn 2.93-3.02
Mn1 0.5000 0.5000 0.2212  4 Mn 2.51, 4 Au 2.80
Mn2 0.0000 0.0000 0.0453  4 Mn 2.51
Au1 0.0000 0.0000 0.4830  5 Mn 2.80-2.81, 4 Mg 2.82

---

(8)
MgMnAu6: optimized geometry, GGA-PBE.

Results
For the total energy, the calculation gives -31.44 eV for the cell shown. The magnetic moment comes out at 4.230 μB per cell. As for the formation energy: -12 kJ/mol of atoms. The value obtained for the offset from the most stable computed form is 104 meV per atom. For the mass density, the calculation gives 13.28 g/cm3.

Cell: 4.8654 4.8654 7.4784 Å, 75.61 75.61 69.11°
Last column: nearest neighbours and their distance in Å.
Positions (direct):
Mg1 0.0000 0.0000 0.0000  6 Au 2.74-2.81
Au1 0.0556 0.5472 0.3047  5 Au 2.71-3.02, 1 Mg 2.74, 2 Mn 2.79-2.81
Au2 0.3657 0.3657 0.9226  5 Au 2.73-3.02, 1 Mg 2.81, 1 Mn 3.02
Au3 0.6343 0.6343 0.0774  5 Au 2.73-3.02, 1 Mg 2.81, 1 Mn 3.02
Au4 0.5472 0.0556 0.3047  5 Au 2.71-3.02, 1 Mg 2.74, 2 Mn 2.79-2.81
Au5 0.4528 0.9444 0.6953  5 Au 2.71-3.02, 1 Mg 2.74, 2 Mn 2.79-2.81
Mn1 0.5000 0.5000 0.5000  10 Au 2.79-3.02
Au6 0.9444 0.4528 0.6953  5 Au 2.71-3.02, 1 Mg 2.74, 2 Mn 2.79-2.81

---

(9)
MgMnAu3: optimized geometry, GGA-PBE.

Results
For the total energy, the calculation gives -18.60 eV for the cell shown. The magnetic moment comes out at 4.210 μB per cell. As for the formation energy: 38 kJ/mol of atoms. The value obtained for the offset from the most stable computed form is 0 meV per atom. For the mass density, the calculation gives 9.36 g/cm3.

Cell: 4.9166 4.9166 4.9166 Å, 90.00 90.00 90.00°
Last column: nearest neighbours and their distance in Å.
Positions (direct):
Mg1 0.5000 0.5000 0.5000  12 Au 3.48
Au1 0.0000 0.5000 0.0000  2 Mn 2.46
Au2 0.0000 0.0000 0.5000  2 Mn 2.46
Au3 0.5000 0.0000 0.0000  2 Mn 2.46
Mn1 0.0000 0.0000 0.0000  6 Au 2.46

---

(10)
Mg2MnAuN: optimized geometry, GGA-PBE.

Results
The uncorrected formation energy is -0.451 eV per atom. For the total energy, the calculation gives -26.22 eV for the cell shown. The magnetic moment comes out at 3.244 μB per cell. For the mass density, the calculation gives 7.13 g/cm3.

Cell: 4.3209 3.9259 4.3209 Å, 90.00 90.00 90.00°
Last column: nearest neighbours and their distance in Å.
Positions (direct):
Au1 0.5000 0.5000 0.5000  8 Mg 2.92, 4 Mn 3.06
N1 0.0000 0.0000 0.0000  2 Mn 1.96, 4 Mg 2.16
Mg1 0.0000 0.0000 0.5000  2 N 2.16
Mg2 0.5000 0.0000 0.0000  2 N 2.16
Mn1 0.0000 0.5000 0.0000  2 N 1.96